Record 1
Sr2Ga2Ru (SCAN, PBEsol geometry); uncorrected energy = -222.0 eV/cell
1.0
3.5957 0.0000 0.0000
0.0000 3.5957 0.0000
0.0000 0.0000 19.2664
Sr Ga Ru
4 4 2
direct
0.0000 0.0000 0.0922
0.0000 0.0000 0.9078
0.5000 0.5000 0.4078
0.5000 0.5000 0.5922
0.0000 0.5000 0.2500
0.0000 0.5000 0.7500
0.5000 0.0000 0.2500
0.5000 0.0000 0.7500
0.0000 0.0000 0.5000
0.5000 0.5000 0.0000



Record 2
BeAl2 (SCAN, PBEsol geometry); uncorrected energy = -77.3 eV/cell
1.0
2.7260 0.0000 0.0000
0.0000 2.7260 0.0000
0.0000 0.0000 22.9027
Be Al
4 8
direct
0.0000 0.2500 0.3750
0.0000 0.7500 0.6250
0.5000 0.2500 0.1250
0.5000 0.7500 0.8750
0.0000 0.2500 0.8027
0.0000 0.2500 0.9473
0.0000 0.7500 0.0527
0.0000 0.7500 0.1973
0.5000 0.2500 0.5527
0.5000 0.2500 0.6973
0.5000 0.7500 0.3027
0.5000 0.7500 0.4473



Record 3
PdCI2N (SCAN, PBEsol geometry); uncorrected energy = -115.9 eV/cell; formation energy from raw total energies = 188.7 kJ/mol of atoms
1.0
5.4794 0.0000 0.0000
0.0000 5.4794 0.0000
0.0000 0.0000 3.6708
Pd C I N
1 1 2 1
direct
0.0000 0.0000 0.0000
0.5000 0.5000 0.5000
0.0000 0.5000 0.0000
0.5000 0.0000 0.0000
0.0000 0.0000 0.5000



Record 4
FeP2 (SCAN, PBEsol geometry); uncorrected energy = -80.9 eV/cell
1.0
4.9175 0.0000 0.0000
0.0000 5.5773 0.0000
0.0000 0.0000 2.6811
Fe P
2 4
direct
0.0000 0.0000 0.0000
0.5000 0.5000 0.5000
0.1714 0.3667 0.0000
0.3286 0.8667 0.5000
0.6714 0.1333 0.5000
0.8286 0.6333 0.0000



Record 5
InSbAu (SCAN, PBEsol geometry); uncorrected energy = -140.3 eV/cell; formation energy from raw total energies = -14.8 kJ/mol of atoms
1.0
4.0341 0.0000 0.0000
-2.0171 3.4936 0.0000
0.0000 0.0000 5.0982
In Sb Au
1 1 1
direct
0.0000 0.0000 0.0000
0.3333 0.6667 0.5904
0.6667 0.3333 0.3012



Record 6
K3CoPCO7 (SCAN, PBEsol geometry); uncorrected energy = -266.9 eV/cell; formation energy from raw total energies = -200.6 kJ/mol of atoms
1.0
5.5645 0.0000 0.0000
0.0000 6.7346 0.0000
-0.0009 0.0000 9.4310
K Co P C O
6 2 2 2 14
direct
0.2501 0.0085 0.2021
0.2501 0.4915 0.2021
0.2501 0.7500 0.5692
0.7499 0.2500 0.4308
0.7499 0.5085 0.7979
0.7499 0.9915 0.7979
0.2498 0.2500 0.8463
0.7502 0.7500 0.1537
0.2502 0.7500 0.9180
0.7498 0.2500 0.0820
0.2499 0.2500 0.5793
0.7501 0.7500 0.4207
0.0223 0.7500 0.0119
0.0507 0.2500 0.6526
0.2499 0.2500 0.4432
0.2499 0.5631 0.8211
0.2499 0.9369 0.8211
0.4490 0.2500 0.6526
0.4790 0.7500 0.0112
0.5210 0.2500 0.9888
0.5510 0.7500 0.3474
0.7501 0.0631 0.1789
0.7501 0.4369 0.1789
0.7501 0.7500 0.5568
0.9493 0.7500 0.3474
0.9777 0.2500 0.9881



Record 7
LuCuB5O10 (SCAN, PBEsol geometry); uncorrected energy = -430.2 eV/cell; formation energy from raw total energies = -256.0 kJ/mol of atoms
1.0
-3.0480 4.2416 6.2834
3.0480 -4.2416 6.2834
3.0480 4.2416 -6.2834
Lu Cu B O
2 2 10 20
direct
0.2500 0.2500 0.0000
0.7500 0.7500 0.0000
0.0000 0.0000 0.0000
0.5000 0.5000 0.0000
0.0936 0.5198 0.8127
0.2071 0.0198 0.4262
0.2500 0.7500 0.5000
0.2929 0.7192 0.8127
0.4064 0.2192 0.4262
0.5936 0.7808 0.5738
0.7071 0.2808 0.1873
0.7500 0.2500 0.5000
0.7929 0.9802 0.5738
0.9064 0.4802 0.1873
0.0406 0.9524 0.2191
0.0917 0.5329 0.2507
0.1260 0.6480 0.7740
0.2178 0.9671 0.5589
0.2333 0.4524 0.9118
0.2667 0.1785 0.2191
0.2822 0.8411 0.7493
0.3740 0.1480 0.5220
0.4083 0.6589 0.4411
0.4594 0.6785 0.9118
0.5406 0.3215 0.0882
0.5917 0.3411 0.5589
0.6260 0.8520 0.4780
0.7178 0.1589 0.2507
0.7333 0.8215 0.7809
0.7667 0.5476 0.0882
0.7822 0.0329 0.4411
0.8740 0.3520 0.2260
0.9083 0.4671 0.7493
0.9594 0.0476 0.7809



Record 8
La2CuIr (SCAN, PBEsol geometry); uncorrected energy = -174.4 eV/cell
1.0
4.9813 0.0000 0.0000
0.0000 4.9813 0.0000
0.0000 0.0000 3.6119
La Cu Ir
2 1 1
direct
0.0000 0.5000 0.0000
0.5000 0.0000 0.0000
0.0000 0.0000 0.5000
0.5000 0.5000 0.5000



Record 9
Mg3Si4O12 (SCAN, PBEsol geometry); uncorrected energy = -365.9 eV/cell; formation energy from raw total energies = -270.0 kJ/mol of atoms
1.0
2.6826 -4.5957 0.0000
2.6826 4.5957 0.0000
-1.3844 0.0000 19.1970
Mg Si O
6 8 24
direct
0.0000 0.5000 0.5000
0.1468 0.3228 0.0001
0.3228 0.1468 0.5001
0.5000 0.0000 0.0000
0.6772 0.8532 0.4999
0.8532 0.6772 0.9999
0.0304 0.2028 0.6437
0.1316 0.6352 0.8563
0.2028 0.0304 0.1437
0.3648 0.8684 0.6437
0.6352 0.1316 0.3563
0.7972 0.9696 0.8563
0.8684 0.3648 0.1437
0.9696 0.7972 0.3563
0.0066 0.1806 0.5581
0.0327 0.7048 0.1716
0.0525 0.2144 0.1719
0.1529 0.6590 0.9419
0.1806 0.0066 0.0581
0.1946 0.5429 0.6714
0.2144 0.0525 0.6719
0.2952 0.9673 0.3284
0.3410 0.8471 0.5581
0.3438 0.4906 0.4559
0.4571 0.8054 0.8286
0.4906 0.3438 0.9559
0.5094 0.6562 0.0441
0.5429 0.1946 0.1714
0.6562 0.5094 0.5441
0.6590 0.1529 0.4419
0.7048 0.0327 0.6716
0.7856 0.9475 0.3281
0.8054 0.4571 0.3286
0.8194 0.9934 0.9419
0.8471 0.3410 0.0581
0.9475 0.7856 0.8281
0.9673 0.2952 0.8284
0.9934 0.8194 0.4419



Which of these has the lowest uncorrected energy? LuCuB5O10